A plane-wave DFT calculation with GGA-PBE was carried out for a relaxed structure of Tb2TmRh4.

Its calculated volume is 143.8 Å³/f.u. The value obtained for the density of states at the Fermi level is 5.698 states/eV per cell. As for the energy of formation: -0.54 eV per atom.

The structure belongs to space group I4/mmm (No. 139); the cell edges are 4.856, 4.856 and 12.196 Å and the angles 90.00°, 90.00° and 90.00°. The distinct sites, in fractional coordinates, are Tb at (0.000, 0.000, 0.221), Tm at (0.000, 0.000, 0.500) and Rh at (0.000, 0.500, 0.120).

---

A plane-wave DFT calculation with GGA-PBE was carried out for a relaxed structure of CsPt3Pb3.

The calculation puts the distance to the lowest polymorph of the same formula at 0.064 eV per atom. Its calculated volume is 228.3 Å³/f.u. The value obtained for the density of states at the Fermi level is 7.727 states/eV per cell. As for the energy of formation: -0.08 eV per atom.

The structure belongs to space group Pm-3n (No. 223); the cell edges are 7.700, 7.700 and 7.700 Å and the angles 90.00°, 90.00° and 90.00°. The distinct sites, in fractional coordinates, are Cs at (0.000, 0.000, 0.000), Pt at (0.000, 0.250, 0.500) and Pb at (0.000, 0.500, 0.250).